(1)
{"formula": "Cu5GeAu6", "functional": "GGA-PBE", "state": "optimized geometry", "n_ef_per_ev_cell": 3.469, "space_group": "P2/m (10)", "relative_energy_ev_per_fu": 0.00, "cell": [[4.2629, 0.0000, 0.0000], [0.0000, 6.8550, 0.0000], [-1.9363, 0.0000, 6.3941]], "species": ["Cu", "Cu", "Cu", "Cu", "Cu", "Ge", "Au", "Au", "Au", "Au", "Au", "Au"], "frac_coords": [[0.0000, 0.0000, 0.0000], [0.3259, 0.5000, 0.6587], [0.3310, 0.0000, 0.6684], [0.6690, 0.0000, 0.3316], [0.6741, 0.5000, 0.3413], [0.0000, 0.5000, 0.0000], [0.1716, 0.2453, 0.3374], [0.1716, 0.7547, 0.3374], [0.5000, 0.2439, 0.0000], [0.5000, 0.7561, 0.0000], [0.8284, 0.2453, 0.6626], [0.8284, 0.7547, 0.6626]]}

(2)
{"formula": "Ho2Cu3Ge4Au", "functional": "GGA-PBE", "state": "optimized geometry", "n_ef_per_ev_cell": 3.623, "space_group": "P-4m2 (115)", "final_energy_ev_per_atom": -4.769, "cell": [[4.1747, 0.0000, 0.0000], [0.0000, 4.1747, 0.0000], [0.0000, 0.0000, 10.2337]], "species": ["Ho", "Ho", "Cu", "Cu", "Cu", "Ge", "Ge", "Ge", "Ge", "Au"], "frac_coords": [[0.0000, 0.5000, 0.2467], [0.5000, 0.0000, 0.7533], [0.0000, 0.5000, 0.8715], [0.5000, 0.0000, 0.1285], [0.5000, 0.5000, 0.5000], [0.0000, 0.0000, 0.0000], [0.0000, 0.5000, 0.6440], [0.5000, 0.0000, 0.3560], [0.5000, 0.5000, 0.0000], [0.0000, 0.0000, 0.5000]]}

(3)
{"formula": "HoCuGeAu", "functional": "GGA-PBE", "state": "optimized geometry", "n_ef_per_ev_cell": 2.570, "space_group": "F-43m (216)", "final_energy_ev_per_atom": -4.541, "cell": [[0.0000, 3.3475, 3.3475], [3.3475, 0.0000, 3.3475], [3.3475, 3.3475, 0.0000]], "species": ["Ho", "Cu", "Ge", "Au"], "frac_coords": [[0.0000, 0.0000, 0.0000], [0.5000, 0.5000, 0.5000], [0.2500, 0.2500, 0.2500], [0.7500, 0.7500, 0.7500]]}

(4)
{"formula": "CuGeAuI2", "functional": "GGA-PBE", "state": "optimized geometry", "n_ef_per_ev_cell": 1.345, "raw_formation_energy_ev_per_fu": 2.7, "space_group": "P4/mmm (123)", "cell": [[5.8333, 0.0000, 0.0000], [0.0000, 5.8333, 0.0000], [0.0000, 0.0000, 4.5122]], "species": ["Cu", "Ge", "Au", "I", "I"], "frac_coords": [[0.0000, 0.0000, 0.0000], [0.0000, 0.0000, 0.5000], [0.5000, 0.5000, 0.0000], [0.0000, 0.5000, 0.5000], [0.5000, 0.0000, 0.5000]]}

(5)
{"formula": "In2Cu7Ge2Au", "functional": "GGA-PBE", "state": "optimized geometry", "n_ef_per_ev_cell": 4.840, "space_group": "C2/m (12)", "final_energy_ev_per_atom": -3.768, "cell": [[2.5482, -2.5473, 0.0000], [2.5482, 2.5473, 0.0000], [-2.4097, 0.0000, 15.0792]], "species": ["In", "In", "Cu", "Cu", "Cu", "Cu", "Cu", "Cu", "Cu", "Ge", "Ge", "Au"], "frac_coords": [[0.1305, 0.1305, 0.2730], [0.8695, 0.8695, 0.7270], [0.0000, 0.0000, 0.0000], [0.0634, 0.5638, 0.1337], [0.2232, 0.2232, 0.4535], [0.4362, 0.9366, 0.8663], [0.5638, 0.0634, 0.1337], [0.7768, 0.7768, 0.5465], [0.9366, 0.4362, 0.8663], [0.3132, 0.3132, 0.6141], [0.6868, 0.6868, 0.3859], [0.5000, 0.5000, 0.0000]]}

(6)
{"formula": "InCu2GeAu", "functional": "GGA-PBE", "state": "optimized geometry", "n_ef_per_ev_cell": 0.860, "space_group": "P4/mmm (123)", "final_energy_ev_per_atom": -3.459, "cell": [[4.6180, 0.0000, 0.0000], [0.0000, 4.6180, 0.0000], [0.0000, 0.0000, 4.9824]], "species": ["In", "Cu", "Cu", "Ge", "Au"], "frac_coords": [[0.0000, 0.0000, 0.0000], [0.0000, 0.5000, 0.5000], [0.5000, 0.0000, 0.5000], [0.5000, 0.5000, 0.5000], [0.5000, 0.5000, 0.0000]]}

(7)
{"formula": "La2Cu3Ge4Au", "functional": "GGA-PBE", "state": "optimized geometry", "n_ef_per_ev_cell": 3.232, "space_group": "P-4m2 (115)", "final_energy_ev_per_atom": -4.950, "cell": [[4.3412, 0.0000, 0.0000], [0.0000, 4.3412, 0.0000], [0.0000, 0.0000, 10.1746]], "species": ["La", "La", "Cu", "Cu", "Cu", "Ge", "Ge", "Ge", "Ge", "Au"], "frac_coords": [[0.0000, 0.5000, 0.2443], [0.5000, 0.0000, 0.7557], [0.0000, 0.5000, 0.8778], [0.5000, 0.0000, 0.1222], [0.5000, 0.5000, 0.5000], [0.0000, 0.0000, 0.0000], [0.0000, 0.5000, 0.6398], [0.5000, 0.0000, 0.3602], [0.5000, 0.5000, 0.0000], [0.0000, 0.0000, 0.5000]]}

(8)
{"formula": "La2Cu4Ge3Au", "functional": "GGA-PBE", "state": "optimized geometry", "n_ef_per_ev_cell": 4.708, "space_group": "P-4m2 (115)", "final_energy_ev_per_atom": -4.842, "cell": [[4.3426, 0.0000, 0.0000], [0.0000, 4.3426, 0.0000], [0.0000, 0.0000, 9.9757]], "species": ["La", "La", "Cu", "Cu", "Cu", "Cu", "Ge", "Ge", "Ge", "Au"], "frac_coords": [[0.0000, 0.5000, 0.2422], [0.5000, 0.0000, 0.7578], [0.0000, 0.0000, 0.0000], [0.0000, 0.5000, 0.6335], [0.5000, 0.0000, 0.3665], [0.5000, 0.5000, 0.0000], [0.0000, 0.5000, 0.8737], [0.5000, 0.0000, 0.1263], [0.5000, 0.5000, 0.5000], [0.0000, 0.0000, 0.5000]]}

Which formula does entry 7 have? La2Cu3Ge4Au